# HfGe2Au, optimized geometry, DFT GGA-PBE
data_HfGe2Au
_chemical_formula_sum 'Hf1 Ge2 Au1'
_symmetry_space_group_name_H-M 'P 1'
_symmetry_Int_Tables_number 1
_symmetry_space_group_name_Hall 'P 1'
_cell_length_a 4.723
_cell_length_b 4.723
_cell_length_c 4.723
_cell_angle_alpha 60.00
_cell_angle_beta 60.00
_cell_angle_gamma 60.00
loop_
_atom_site_label
_atom_site_type_symbol
_atom_site_fract_x
_atom_site_fract_y
_atom_site_fract_z
Hf1 Hf 0.000 0.000 0.000
Ge1 Ge 0.250 0.250 0.250
Ge2 Ge 0.750 0.750 0.750
Au1 Au 0.500 0.500 0.500
# - crystal system = cubic
# - spin magnetization (μB/f.u.) = 0.000
# - density (g/cm3) = 11.6
# - SG = Fm-3m
# - ΔE_f (meV per atom) = 26

=====

# HfGe2Au, optimized geometry, DFT GGA-PBE
data_HfGe2Au
_chemical_formula_sum 'Hf1 Ge2 Au1'
_symmetry_space_group_name_H-M 'P 1'
_symmetry_Int_Tables_number 1
_symmetry_space_group_name_Hall 'P 1'
_cell_length_a 4.375
_cell_length_b 4.375
_cell_length_c 3.773
_cell_angle_alpha 90.00
_cell_angle_beta 90.00
_cell_angle_gamma 90.00
loop_
_atom_site_label
_atom_site_type_symbol
_atom_site_fract_x
_atom_site_fract_y
_atom_site_fract_z
Hf1 Hf 0.000 0.000 0.000
Ge1 Ge 0.000 0.500 0.500
Ge2 Ge 0.500 0.000 0.500
Au1 Au 0.500 0.500 0.000
# - crystal system = tetragonal
# - spin magnetization (μB/f.u.) = 0.000
# - density (g/cm3) = 12.0
# - SG = P4/mmm
# - ΔE_f (meV per atom) = -285

=====

# HfMgGe2Au, optimized geometry, DFT GGA-PBE
data_HfMgGe2Au
_chemical_formula_sum 'Hf1 Mg1 Ge2 Au1'
_symmetry_space_group_name_H-M 'P 1'
_symmetry_Int_Tables_number 1
_symmetry_space_group_name_Hall 'P 1'
_cell_length_a 4.747
_cell_length_b 4.747
_cell_length_c 5.253
_cell_angle_alpha 90.00
_cell_angle_beta 90.00
_cell_angle_gamma 90.00
loop_
_atom_site_label
_atom_site_type_symbol
_atom_site_fract_x
_atom_site_fract_y
_atom_site_fract_z
Hf1 Hf 0.000 0.000 0.000
Mg1 Mg 0.000 0.000 0.500
Ge1 Ge 0.000 0.500 0.500
Ge2 Ge 0.500 0.000 0.500
Au1 Au 0.500 0.500 0.000
# - crystal system = tetragonal
# - spin magnetization (μB/f.u.) = 0.000
# - density (g/cm3) = 7.6
# - SG = P4/mmm
# - ΔE_f (meV per atom) = 942

=====

# HfGe2PdAu, optimized geometry, DFT GGA-PBE
data_HfGe2PdAu
_chemical_formula_sum 'Hf1 Ge2 Pd1 Au1'
_symmetry_space_group_name_H-M 'P 1'
_symmetry_Int_Tables_number 1
_symmetry_space_group_name_Hall 'P 1'
_cell_length_a 5.101
_cell_length_b 5.101
_cell_length_c 5.124
_cell_angle_alpha 90.00
_cell_angle_beta 90.00
_cell_angle_gamma 90.00
loop_
_atom_site_label
_atom_site_type_symbol
_atom_site_fract_x
_atom_site_fract_y
_atom_site_fract_z
Hf1 Hf 0.000 0.000 0.000
Ge1 Ge 0.000 0.500 0.000
Ge2 Ge 0.500 0.000 0.000
Pd1 Pd 0.500 0.500 0.500
Au1 Au 0.000 0.000 0.500
# - crystal system = tetragonal
# - spin magnetization (μB/f.u.) = 0.000
# - density (g/cm3) = 7.8
# - SG = P4/mmm
# - ΔE_f (meV per atom) = 808

=====

# HfGePdAu, optimized geometry, DFT GGA-PBE
data_HfGePdAu
_chemical_formula_sum 'Hf1 Ge1 Pd1 Au1'
_symmetry_space_group_name_H-M 'P 1'
_symmetry_Int_Tables_number 1
_symmetry_space_group_name_Hall 'P 1'
_cell_length_a 4.628
_cell_length_b 4.628
_cell_length_c 4.628
_cell_angle_alpha 60.00
_cell_angle_beta 60.00
_cell_angle_gamma 60.00
loop_
_atom_site_label
_atom_site_type_symbol
_atom_site_fract_x
_atom_site_fract_y
_atom_site_fract_z
Hf1 Hf 0.000 0.000 0.000
Ge1 Ge 0.250 0.250 0.250
Pd1 Pd 0.500 0.500 0.500
Au1 Au 0.750 0.750 0.750
# - crystal system = cubic
# - spin magnetization (μB/f.u.) = 0.000
# - density (g/cm3) = 13.1
# - SG = F-43m
# - ΔE_f (meV per atom) = -437

=====

# PmHfGeAu, optimized geometry, DFT GGA-PBE
data_PmHfGeAu
_chemical_formula_sum 'Pm1 Hf1 Ge1 Au1'
_symmetry_space_group_name_H-M 'P 1'
_symmetry_Int_Tables_number 1
_symmetry_space_group_name_Hall 'P 1'
_cell_length_a 4.984
_cell_length_b 4.984
_cell_length_c 4.984
_cell_angle_alpha 60.00
_cell_angle_beta 60.00
_cell_angle_gamma 60.00
loop_
_atom_site_label
_atom_site_type_symbol
_atom_site_fract_x
_atom_site_fract_y
_atom_site_fract_z
Pm1 Pm 0.000 0.000 0.000
Hf1 Hf 0.500 0.500 0.500
Ge1 Ge 0.750 0.750 0.750
Au1 Au 0.250 0.250 0.250
# - crystal system = cubic
# - spin magnetization (μB/f.u.) = 0.000
# - density (g/cm3) = 11.3
# - SG = F-43m
# - ΔE_f (meV per atom) = -447

=====

# HfRe2GeAu, optimized geometry, DFT GGA-PBE
data_HfRe2GeAu
_chemical_formula_sum 'Hf1 Re2 Ge1 Au1'
_symmetry_space_group_name_H-M 'P 1'
_symmetry_Int_Tables_number 1
_symmetry_space_group_name_Hall 'P 1'
_cell_length_a 4.899
_cell_length_b 4.899
_cell_length_c 4.970
_cell_angle_alpha 90.00
_cell_angle_beta 90.00
_cell_angle_gamma 90.00
loop_
_atom_site_label
_atom_site_type_symbol
_atom_site_fract_x
_atom_site_fract_y
_atom_site_fract_z
Hf1 Hf 0.000 0.000 0.000
Re1 Re 0.000 0.500 0.500
Re2 Re 0.500 0.000 0.500
Ge1 Ge 0.500 0.500 0.000
Au1 Au 0.000 0.000 0.500
# - crystal system = tetragonal
# - spin magnetization (μB/f.u.) = 2.594
# - density (g/cm3) = 11.4
# - SG = P4/mmm
# - ΔE_f (meV per atom) = 2064

=====

# HfGe2AuSe, optimized geometry, DFT GGA-PBE
data_HfGe2AuSe
_chemical_formula_sum 'Hf1 Ge2 Au1 Se1'
_symmetry_space_group_name_H-M 'P 1'
_symmetry_Int_Tables_number 1
_symmetry_space_group_name_Hall 'P 1'
_cell_length_a 4.884
_cell_length_b 4.884
_cell_length_c 5.144
_cell_angle_alpha 90.00
_cell_angle_beta 90.00
_cell_angle_gamma 90.00
loop_
_atom_site_label
_atom_site_type_symbol
_atom_site_fract_x
_atom_site_fract_y
_atom_site_fract_z
Hf1 Hf 0.000 0.000 0.000
Ge1 Ge 0.000 0.500 0.500
Ge2 Ge 0.500 0.000 0.500
Au1 Au 0.500 0.500 0.500
Se1 Se 0.500 0.500 0.000
# - crystal system = tetragonal
# - spin magnetization (μB/f.u.) = 0.000
# - uncorrected formation energy (meV/atom) = 742.3
# - density (g/cm3) = 8.1
# - SG = P4/mmm

=====

# HfV2GeAu, optimized geometry, DFT GGA-PBE
data_HfV2GeAu
_chemical_formula_sum 'Hf1 V2 Ge1 Au1'
_symmetry_space_group_name_H-M 'P 1'
_symmetry_Int_Tables_number 1
_symmetry_space_group_name_Hall 'P 1'
_cell_length_a 4.734
_cell_length_b 4.734
_cell_length_c 5.143
_cell_angle_alpha 90.00
_cell_angle_beta 90.00
_cell_angle_gamma 90.00
loop_
_atom_site_label
_atom_site_type_symbol
_atom_site_fract_x
_atom_site_fract_y
_atom_site_fract_z
Hf1 Hf 0.000 0.000 0.000
V1 V 0.000 0.500 0.000
V2 V 0.500 0.000 0.000
Ge1 Ge 0.500 0.500 0.500
Au1 Au 0.000 0.000 0.500
# - crystal system = tetragonal
# - spin magnetization (μB/f.u.) = 3.163
# - density (g/cm3) = 7.9
# - SG = P4/mmm
# - ΔE_f (meV per atom) = 1479

=====

# YHfGe2Au, optimized geometry, DFT GGA-PBE
data_YHfGe2Au
_chemical_formula_sum 'Y1 Hf1 Ge2 Au1'
_symmetry_space_group_name_H-M 'P 1'
_symmetry_Int_Tables_number 1
_symmetry_space_group_name_Hall 'P 1'
_cell_length_a 5.246
_cell_length_b 5.246
_cell_length_c 5.303
_cell_angle_alpha 90.00
_cell_angle_beta 90.00
_cell_angle_gamma 90.00
loop_
_atom_site_label
_atom_site_type_symbol
_atom_site_fract_x
_atom_site_fract_y
_atom_site_fract_z
Y1 Y 0.000 0.000 0.000
Hf1 Hf 0.000 0.000 0.500
Ge1 Ge 0.000 0.500 0.000
Ge2 Ge 0.500 0.000 0.000
Au1 Au 0.500 0.500 0.500
# - crystal system = tetragonal
# - spin magnetization (μB/f.u.) = 0.000
# - density (g/cm3) = 6.9
# - SG = P4/mmm
# - ΔE_f (meV per atom) = 1198

=====

- The highest spin magnetization belongs to which entry?
  HfV2GeAu

=====

- What is the formula in the third record?
  HfMgGe2Au

=====

- Which value of density does entry 10 give?
  6.9 g/cm3

=====

Please write out number 5 again, unchanged.
# HfGePdAu, optimized geometry, DFT GGA-PBE
data_HfGePdAu
_chemical_formula_sum 'Hf1 Ge1 Pd1 Au1'
_symmetry_space_group_name_H-M 'P 1'
_symmetry_Int_Tables_number 1
_symmetry_space_group_name_Hall 'P 1'
_cell_length_a 4.628
_cell_length_b 4.628
_cell_length_c 4.628
_cell_angle_alpha 60.00
_cell_angle_beta 60.00
_cell_angle_gamma 60.00
loop_
_atom_site_label
_atom_site_type_symbol
_atom_site_fract_x
_atom_site_fract_y
_atom_site_fract_z
Hf1 Hf 0.000 0.000 0.000
Ge1 Ge 0.250 0.250 0.250
Pd1 Pd 0.500 0.500 0.500
Au1 Au 0.750 0.750 0.750
# - crystal system = cubic
# - spin magnetization (μB/f.u.) = 0.000
# - density (g/cm3) = 13.1
# - SG = F-43m
# - ΔE_f (meV per atom) = -437